A relaxed CrCuTc2 crystal, computed with GGA-PBE.

Calculated values
Space group   Cmm2, No. 35
E   -8.317 eV/atom
E above lowest polymorph   100 meV per atom
Formation energy   0.296 eV/atom
V   54.28 Å³/f.u.

```
CrCuTc2
1.0
1.5026 -2.1154 0.0000
1.5026 2.1154 0.0000
0.0000 0.0000 8.5378
Cr Cu Tc
1 1 2
Direct
0.0000 0.0000 0.0000
0.5000 0.5000 0.7585
0.0000 0.0000 0.5005
0.5000 0.5000 0.2349
```


A relaxed Zn2WSe crystal, computed with GGA-PBE.

Calculated values
Space group   P4/mmm, No. 123
E   -4.405 eV/atom
Formation energy without anion corrections   1.4 eV/f.u.
V   70.20 Å³/f.u.

```
Zn2WSe
1.0
2.7699 0.0000 0.0000
0.0000 2.7699 0.0000
0.0000 0.0000 9.1495
Zn W Se
2 1 1
Direct
0.0000 0.0000 0.2140
0.0000 0.0000 0.7860
0.5000 0.5000 0.0000
0.5000 0.5000 0.5000
```


A relaxed CdFeBr2 crystal, computed with GGA-PBE.

Calculated values
Space group   Cmmm, No. 65
E   -3.245 eV/atom
E above lowest polymorph   54 meV per atom
Formation energy without anion corrections   -0.3 eV/f.u.
V   128.10 Å³/f.u.

```
CdFeBr2
1.0
1.7449 -3.5382 0.0000
1.7449 3.5382 0.0000
0.0000 0.0000 10.3746
Cd Fe Br
1 1 2
Direct
0.0000 0.0000 0.0000
0.0000 0.0000 0.5000
0.5000 0.5000 0.3281
0.5000 0.5000 0.6719
```